The following is a PBE-GGA calculation of a geometry-optimized Li4Er3InTe8 structure, from the Alexandria database.

Structure (extended XYZ):
```
16
Lattice="4.308 2.487 7.042 -4.308 2.487 7.042 0.000 -4.974 7.042" Properties=species:S:1:pos:R:3 pbc="T T T"
Li 0.000 0.000 0.000
Li -2.154 -1.244 7.042
Li -2.154 1.244 14.083
Li 0.000 2.487 7.042
Er -4.308 0.000 10.562
Er -2.154 1.244 3.521
Er 2.154 1.244 3.521
In 0.000 0.000 10.562
Te 0.000 -2.467 8.781
Te -2.137 1.234 8.781
Te 0.000 0.000 5.307
Te -2.137 -1.234 12.344
Te 2.137 1.234 8.781
Te 0.000 0.000 15.818
Te 2.137 -1.234 12.344
Te 0.000 2.467 12.344
```

Properties
**Total DFT energy (no corrections)**: -4.15 eV per atom
**Formation energy without anion corrections**: -17.20 eV/f.u.
**Density of states at the Fermi level**: 2.58 states/eV per cell
**Space group**: R-3m

---

The following is a PBE-GGA calculation of a geometry-optimized Ce4SiSCl2 structure, from the Alexandria database.

Structure (extended XYZ):
```
8
Lattice="6.997 0.000 0.000 0.000 4.132 0.000 -2.439 0.000 6.638" Properties=species:S:1:pos:R:3 pbc="T T T"
Ce 1.084 0.000 1.607
Ce -0.131 2.066 4.996
Ce 4.689 2.066 1.642
Ce 3.473 0.000 5.031
Si -1.219 0.000 3.319
S 0.000 2.066 0.000
Cl 3.498 0.000 0.000
Cl 2.279 2.066 3.319
```

Properties
**Total DFT energy (no corrections)**: -6.05 eV per atom
**Formation energy without anion corrections**: -11.41 eV/f.u.
**Density of states at the Fermi level**: 19.00 states/eV per cell
**Space group**: P2/m

---

The following is a PBE-GGA calculation of a geometry-optimized Sm5ScTe4 structure, from the Alexandria database.

Structure (extended XYZ):
```
10
Lattice="9.212 -2.087 0.000 9.212 2.087 0.000 -1.731 0.000 8.349" Properties=species:S:1:pos:R:3 pbc="T T T"
Sm 0.000 0.000 0.000
Sm 5.604 0.000 1.166
Sm 4.882 0.000 5.847
Sm 11.810 0.000 2.501
Sm 11.089 0.000 7.182
Sc -0.865 0.000 4.174
Te 1.979 0.000 4.758
Te 8.650 0.000 2.183
Te 8.043 0.000 6.166
Te 14.714 0.000 3.591
```

Properties
**Total DFT energy (no corrections)**: -5.20 eV per atom
**Formation energy without anion corrections**: -9.51 eV/f.u.
**Density of states at the Fermi level**: 8.07 states/eV per cell
**Space group**: C2/m

---

The following is a PBE-GGA calculation of a geometry-optimized AcTmAsSe structure, from the Alexandria database.

Structure (extended XYZ):
```
4
Lattice="2.083 1.202 7.525 -2.083 1.202 7.525 0.000 -2.405 7.525" Properties=species:S:1:pos:R:3 pbc="T T T"
Ac 0.000 0.000 0.000
Tm 0.000 0.000 18.513
As 0.000 0.000 9.453
Se 0.000 0.000 12.864
```

Properties
**Total DFT energy (no corrections)**: -5.72 eV per atom
**Formation energy without anion corrections**: -6.16 eV/f.u.
**Density of states at the Fermi level**: 2.45 states/eV per cell
**Space group**: R3m

---

The following is a PBE-GGA calculation of a geometry-optimized La3Nd2DyS6 structure, from the Alexandria database.

Structure (extended XYZ):
```
12
Lattice="3.533 -6.130 0.000 3.533 6.130 0.000 -2.365 0.000 6.675" Properties=species:S:1:pos:R:3 pbc="T T T"
La 0.000 0.000 0.000
La 3.533 2.082 0.000
La 3.533 -2.082 0.000
Nd 2.350 4.086 3.337
Nd 2.350 -4.086 3.337
Dy 2.350 0.000 3.337
S 1.208 1.989 1.745
S 0.056 0.000 4.951
S 1.208 -1.989 1.745
S 3.492 1.989 4.929
S 4.644 0.000 1.724
S 3.492 -1.989 4.929
```

Properties
**Total DFT energy (no corrections)**: -6.57 eV per atom
**Formation energy without anion corrections**: -25.16 eV/f.u.
**Density of states at the Fermi level**: 5.70 states/eV per cell
**Space group**: C2/m

---

The following is a PBE-GGA calculation of a geometry-optimized Pr4Fe structure, from the Alexandria database.

Structure (extended XYZ):
```
10
Lattice="0.000 5.496 5.496 5.496 0.000 5.496 5.496 5.496 0.000" Properties=species:S:1:pos:R:3 pbc="T T T"
Pr 8.347 5.394 5.394
Pr 2.646 2.646 2.646
Pr 5.599 5.599 2.646
Pr 5.599 2.646 5.599
Pr 5.394 8.347 5.394
Pr 5.394 5.394 8.347
Pr 8.347 8.347 8.347
Pr 2.646 5.599 5.599
Fe 4.122 4.122 4.122
Fe 6.871 6.871 6.871
```

Properties
**Offset from the most stable computed form**: 215 meV/atom
**Energy of formation**: 0.43 eV per atom
**Total DFT energy (no corrections)**: -5.09 eV per atom
**Density of states at the Fermi level**: 11.78 states/eV per cell
**Space group**: Fd-3m

---

The following is a PBE-GGA calculation of a geometry-optimized V2SbW structure, from the Alexandria database.

Structure (extended XYZ):
```
4
Lattice="4.274 0.000 0.000 0.000 4.274 0.000 0.000 0.000 3.450" Properties=species:S:1:pos:R:3 pbc="T T T"
V 0.000 2.137 0.000
V 2.137 0.000 0.000
Sb 0.000 0.000 1.725
W 2.137 2.137 1.725
```

Properties
**Total DFT energy (no corrections)**: -8.72 eV per atom
**Formation energy without anion corrections**: 0.43 eV/f.u.
**Density of states at the Fermi level**: 3.74 states/eV per cell
**Space group**: P4/mmm

---

The following is a PBE-GGA calculation of a geometry-optimized CaCeBr6 structure, from the Alexandria database.

Structure (extended XYZ):
```
8
Lattice="7.156 0.000 0.000 3.576 6.200 0.000 3.574 2.061 6.561" Properties=species:S:1:pos:R:3 pbc="T T T"
Ca 0.000 0.000 0.000
Ce 7.153 4.131 3.280
Br 4.861 4.104 4.899
Br 5.985 6.106 1.667
Br 8.279 6.125 4.900
Br 6.027 2.136 1.661
Br 8.321 2.155 4.894
Br 9.444 4.157 1.662
```

Properties
**Offset from the most stable computed form**: 11 meV/atom
**Total DFT energy (no corrections)**: -3.96 eV per atom
**Formation energy without anion corrections**: -13.71 eV/f.u.
**Space group**: P-1

---

The following is a PBE-GGA calculation of a geometry-optimized Tm6Ru2Pb structure, from the Alexandria database.

Structure (extended XYZ):
```
18
Lattice="-4.632 4.737 5.197 4.632 -4.737 5.197 4.632 4.737 -5.197" Properties=species:S:1:pos:R:3 pbc="T T T"
Tm 4.632 2.723 -2.709
Tm 2.686 1.725 0.000
Tm 6.578 1.725 0.000
Tm 1.738 4.737 -1.736
Tm 2.894 0.000 3.461
Tm 0.000 2.014 2.488
Tm 4.632 2.723 2.709
Tm 1.738 4.737 1.736
Tm 2.894 0.000 6.933
Tm -1.946 3.012 5.197
Tm 1.946 3.012 5.197
Tm 0.000 2.014 7.905
Ru 4.632 0.000 1.363
Ru 0.000 3.133 0.000
Ru 0.000 6.341 0.000
Ru 0.000 4.737 3.834
Pb 0.000 0.000 0.000
Pb 0.000 0.000 5.197
```

Properties
**Energy of formation**: -0.42 eV per atom
**Total DFT energy (no corrections)**: -5.88 eV per atom
**Density of states at the Fermi level**: 13.12 states/eV per cell
**Space group**: Immm

---

The following is a PBE-GGA calculation of a geometry-optimized La3Nd2Zn2 structure, from the Alexandria database.

Structure (extended XYZ):
```
7
Lattice="1.886 -15.439 0.000 1.886 15.439 0.000 0.000 0.000 3.707" Properties=species:S:1:pos:R:3 pbc="T T T"
La 0.000 0.000 0.000
La 1.886 2.676 1.853
La 1.886 -2.676 1.853
Nd 1.886 6.227 1.853
Nd 1.886 -6.227 1.853
Zn 1.886 10.919 0.000
Zn 1.886 -10.919 0.000
```

Properties
**Offset from the most stable computed form**: 13 meV/atom
**Energy of formation**: -0.12 eV per atom
**Total DFT energy (no corrections)**: -3.96 eV per atom
**Density of states at the Fermi level**: 9.33 states/eV per cell
**Space group**: Cmmm

---

The following is a PBE-GGA calculation of a geometry-optimized Sb6Te structure, from the Alexandria database.

Structure (extended XYZ):
```
7
Lattice="-4.158 4.158 4.158 4.158 -4.158 4.158 4.158 4.158 -4.158" Properties=species:S:1:pos:R:3 pbc="T T T"
Sb 4.158 2.079 0.000
Sb 4.158 0.000 2.079
Sb 2.079 4.158 0.000
Sb 2.079 0.000 4.158
Sb 0.000 4.158 2.079
Sb 0.000 2.079 4.158
Te 0.000 0.000 0.000
```

Properties
**Total DFT energy (no corrections)**: -3.57 eV per atom
**Formation energy without anion corrections**: 2.88 eV/f.u.
**Density of states at the Fermi level**: 2.53 states/eV per cell
**Space group**: Im-3m

---

The following is a PBE-GGA calculation of a geometry-optimized Rb2RePF6 structure, from the Alexandria database.

Structure (extended XYZ):
```
10
Lattice="-2.951 2.951 5.464 2.951 -2.951 5.464 2.951 2.951 -5.464" Properties=species:S:1:pos:R:3 pbc="T T T"
Rb 2.951 0.000 2.732
Rb 0.000 2.951 2.732
Re 0.000 0.000 0.000
P 0.000 0.000 5.464
F 0.000 0.000 2.006
F 1.474 1.474 0.000
F 1.476 -1.476 5.464
F -1.476 1.476 5.464
F 1.476 1.476 5.464
F 0.000 0.000 8.922
```

Properties
**Total DFT energy (no corrections)**: -4.81 eV per atom
**Formation energy without anion corrections**: -17.10 eV/f.u.
**Density of states at the Fermi level**: 0.00 states/eV per cell
**Space group**: I4/mmm

---

The following is a PBE-GGA calculation of a geometry-optimized Cs2PO3 structure, from the Alexandria database.

Structure (extended XYZ):
```
12
Lattice="0.000 4.640 9.597 4.483 0.000 9.597 4.483 4.640 0.000" Properties=species:S:1:pos:R:3 pbc="T T T"
Cs 6.786 4.640 9.597
Cs 2.241 2.320 4.799
Cs 6.724 6.961 14.396
Cs 2.179 4.640 9.597
P 4.483 4.640 2.775
P 4.483 4.640 16.420
O 4.483 1.316 7.594
O 4.483 4.640 4.299
O 4.483 1.316 11.601
O 4.483 7.964 7.594
O 4.483 4.640 14.896
O 4.483 7.964 11.601
```

Properties
**Total DFT energy (no corrections)**: -5.38 eV per atom
**Formation energy without anion corrections**: -10.32 eV/f.u.
**Density of states at the Fermi level**: 3.33 states/eV per cell
**Space group**: Fmmm

---

The following is a PBE-GGA calculation of a geometry-optimized KInIrCl structure, from the Alexandria database.

Structure (extended XYZ):
```
4
Lattice="3.856 -2.135 0.000 3.856 2.135 0.000 -3.379 0.000 7.255" Properties=species:S:1:pos:R:3 pbc="T T T"
K 0.000 0.000 0.000
In 5.193 0.000 2.606
Ir 2.686 0.000 3.370
Cl 1.819 0.000 5.565
```

Properties
**Offset from the most stable computed form**: 178 meV/atom
**Total DFT energy (no corrections)**: -3.87 eV per atom
**Formation energy without anion corrections**: -0.95 eV/f.u.
**Density of states at the Fermi level**: 0.60 states/eV per cell
**Space group**: Cm

---

The following is a PBE-GGA calculation of a geometry-optimized FeCuHg2 structure, from the Alexandria database.

Structure (extended XYZ):
```
4
Lattice="1.489 0.860 9.406 -1.489 0.860 9.406 0.000 -1.720 9.406" Properties=species:S:1:pos:R:3 pbc="T T T"
Fe 0.000 0.000 0.000
Cu 0.000 0.000 7.552
Hg 0.000 0.000 14.687
Hg 0.000 0.000 21.079
```

Properties
**Offset from the most stable computed form**: 77 meV/atom
**Energy of formation**: 0.39 eV per atom
**Total DFT energy (no corrections)**: -2.90 eV per atom
**Density of states at the Fermi level**: 2.82 states/eV per cell
**Space group**: R3m

---

The following is a PBE-GGA calculation of a geometry-optimized HgHSeN2 structure, from the Alexandria database.

Structure (extended XYZ):
```
5
Lattice="4.289 0.000 0.000 0.000 4.289 0.000 0.000 0.000 5.954" Properties=species:S:1:pos:R:3 pbc="T T T"
Hg 0.000 0.000 0.000
H 2.144 2.144 2.977
Se 0.000 0.000 2.977
N 0.000 2.144 0.000
N 2.144 0.000 0.000
```

Properties
**Offset from the most stable computed form**: 353 meV/atom
**Total DFT energy (no corrections)**: -2.36 eV per atom
**Density of states at the Fermi level**: 1.76 states/eV per cell
**Space group**: P4/mmm

---

The following is a PBE-GGA calculation of a geometry-optimized Sr2TbSb3Pd4 structure, from the Alexandria database.

Structure (extended XYZ):
```
10
Lattice="4.602 0.000 0.000 0.000 4.602 0.000 0.000 0.000 11.520" Properties=species:S:1:pos:R:3 pbc="T T T"
Sr 0.000 2.301 2.576
Sr 2.301 0.000 8.944
Tb 0.000 0.000 5.760
Sb 0.000 2.301 10.071
Sb 2.301 0.000 1.449
Sb 2.301 2.301 5.760
Pd 0.000 0.000 0.000
Pd 0.000 2.301 7.421
Pd 2.301 0.000 4.100
Pd 2.301 2.301 0.000
```

Properties
**Total DFT energy (no corrections)**: -4.97 eV per atom
**Formation energy without anion corrections**: -8.58 eV/f.u.
**Density of states at the Fermi level**: 5.33 states/eV per cell
**Space group**: P-4m2

---

The following is a PBE-GGA calculation of a geometry-optimized Ho7Sn2Ru2 structure, from the Alexandria database.

Structure (extended XYZ):
```
11
Lattice="4.038 -5.389 0.000 4.038 5.389 0.000 0.000 0.000 7.135" Properties=species:S:1:pos:R:3 pbc="T T T"
Ho 0.000 0.000 0.000
Ho 2.019 2.695 1.765
Ho 2.019 2.695 5.370
Ho 2.019 -2.695 1.765
Ho 2.019 -2.695 5.370
Ho 4.038 0.000 1.668
Ho 4.038 0.000 5.467
Sn 1.473 0.000 3.568
Sn 6.602 0.000 3.568
Ru 4.038 2.275 0.000
Ru 4.038 -2.275 0.000
```

Properties
**Energy of formation**: -0.35 eV per atom
**Total DFT energy (no corrections)**: -5.68 eV per atom
**Density of states at the Fermi level**: 10.35 states/eV per cell
**Space group**: Cmmm

---

The following is a PBE-GGA calculation of a geometry-optimized Ge3Se2O structure, from the Alexandria database.

Structure (extended XYZ):
```
12
Lattice="7.584 -3.828 0.000 7.584 3.828 0.000 0.000 0.000 5.845" Properties=species:S:1:pos:R:3 pbc="T T T"
Ge 7.584 2.557 2.922
Ge 5.688 1.220 0.742
Ge 9.480 1.220 0.742
Ge 5.688 -1.220 3.664
Ge 9.480 -1.220 3.664
Ge 7.584 -2.557 0.000
Se 5.551 1.331 3.910
Se 9.617 1.331 3.910
Se 5.551 -1.331 0.988
Se 9.617 -1.331 0.988
O 7.584 1.567 1.193
O 7.584 -1.567 4.116
```

Properties
**Total DFT energy (no corrections)**: -4.74 eV per atom
**Formation energy without anion corrections**: -2.66 eV/f.u.
**Space group**: Cmc2_1

---

The following is a PBE-GGA calculation of a geometry-optimized K2BaRhAu structure, from the Alexandria database.

Structure (extended XYZ):
```
5
Lattice="6.011 0.000 0.000 0.000 6.011 0.000 0.000 0.000 5.672" Properties=species:S:1:pos:R:3 pbc="T T T"
K 0.000 3.006 0.000
K 3.006 0.000 0.000
Ba 0.000 0.000 2.836
Rh 0.000 0.000 0.000
Au 3.006 3.006 2.836
```

Properties
**Energy of formation**: 0.17 eV per atom
**Total DFT energy (no corrections)**: -2.78 eV per atom
**Density of states at the Fermi level**: 0.81 states/eV per cell
**Space group**: P4/mmm